Pm3SmHo3: relaxed, PBE.

Values from the calculation:
* DOS(E_F): 1.482 states/eV/atom
* raw total energy: -4.470 eV per atom
* spin magnetization: 0.00 μB per cell

Cell lengths 8.884, 8.884, 8.884 Å; angles 58.62, 58.62, 58.62 degrees
Fractional positions:
Pm 0.066 0.570 0.220
Pm 0.220 0.066 0.570
Pm 0.430 0.780 0.934
Pm 0.570 0.220 0.066
Pm 0.780 0.934 0.430
Pm 0.934 0.430 0.780
Sm 0.155 0.155 0.155
Sm 0.845 0.845 0.845
Ho 0.215 0.674 0.437
Ho 0.326 0.563 0.785
Ho 0.437 0.215 0.674
Ho 0.563 0.785 0.326
Ho 0.674 0.437 0.215
Ho 0.785 0.326 0.563

***

Sc3HIr: relaxed, PBE.

Values from the calculation:
* DOS(E_F): 0.708 states/eV/atom
* raw total energy: -6.744 eV per atom
* spin magnetization: 0.00 μB per cell

Cell lengths 6.876, 3.446, 7.607 Å; angles 90.00, 107.06, 90.00 degrees
Fractional positions:
Sc 0.085 0.000 0.320
Sc 0.297 0.000 0.036
Sc 0.345 0.500 0.681
Sc 0.655 0.500 0.319
Sc 0.703 0.000 0.964
Sc 0.915 0.000 0.680
H 0.000 0.500 0.500
H 0.500 0.500 0.000
Ir 0.000 0.500 0.000
Ir 0.500 0.000 0.500